Record 1
The following is a PBE calculation of crystalline Fe2NiPt2 at its relaxed geometry, from Alexandria via LeMat-Bulk.

Values from the calculation:
As for the formation energy: 0.41 eV/atom. The value obtained for the total energy is -32.8 eV per formula unit. The value obtained for the energy above the lowest structure with this stoichiometry is 46.5 kJ/mol of atoms.

a = 3.716 Å, b = 3.716 Å, c = 6.295 Å
α = 72.83°, β = 72.83°, γ = 90.00°
Site moments in Bohr magnetons follow the coordinates.
Atoms (fractional coordinates):
Ni 0.000 0.000 0.000  0.77
Fe 0.402 0.402 0.196  2.96
Fe 0.598 0.598 0.804  2.96
Pt 0.750 0.250 0.500  0.32
Pt 0.250 0.750 0.500  0.32


Record 2
The following is a PBE calculation of crystalline CaNiSN2 at its relaxed geometry, from Alexandria via LeMat-Bulk.

Values from the calculation:
The formation energy (no corrections) comes out at 0.30 eV/atom. The value obtained for the total energy is -27.1 eV per formula unit. The value obtained for the energy above the lowest structure with this stoichiometry is 0.0 kJ/mol of atoms.

a = 3.826 Å, b = 3.826 Å, c = 4.877 Å
α = 90.00°, β = 90.00°, γ = 90.00°
Site moments in Bohr magnetons follow the coordinates.
Atoms (fractional coordinates):
Ni 0.000 0.000 0.000  0.59
Ca 0.500 0.500 0.500  0.01
S 0.000 0.000 0.500  0.10
N 0.000 0.500 0.000  0.84
N 0.500 0.000 0.000  0.84


Record 3
The following is a PBE calculation of crystalline Ba2PuClO4 at its relaxed geometry, from Alexandria via LeMat-Bulk.

Values from the calculation:
The formation energy (no corrections) comes out at -2.71 eV/atom. The value obtained for the total energy is -61.5 eV per formula unit.

a = 3.670 Å, b = 5.873 Å, c = 9.280 Å
α = 79.70°, β = 78.59°, γ = 71.79°
Site moments in Bohr magnetons follow the coordinates.
Atoms (fractional coordinates):
Ba 0.828 0.571 0.773  0.00
Ba 0.172 0.429 0.227  0.00
Pu 0.000 0.000 0.000  3.35
Cl 0.500 0.500 0.500  0.00
O 0.146 0.907 0.801  -0.12
O 0.396 0.259 0.950  -0.07
O 0.854 0.093 0.199  -0.12
O 0.604 0.741 0.050  -0.07